1.
Entry from the Alexandria database: a relaxed structure of Rb2SrGaAu (GGA-PBE).

abc: 6.483 6.249 6.483
angles: 90.00 90.00 90.00
Positions (direct):
Sr (0.000, 0.500, 0.000)
Au (0.500, 0.500, 0.500)
Ga (0.000, 0.000, 0.000)
Rb (0.000, 0.000, 0.500)
Rb (0.500, 0.000, 0.000)

* crystal system: tetragonal
* space-group type: No. 123
* DFT formation energy: 4.8 kcal/mol of atoms
* total magnetization: 0.000 μB/atom

***

2.
Entry from the Alexandria database: a relaxed structure of RbTaGa2Au (GGA-PBE).

abc: 5.488 5.497 5.488
angles: 90.00 90.00 90.00
Each line ends with the local moment (μB).
Positions (direct):
Au (0.000, 0.500, 0.000)  0.00
Ga (0.000, 0.000, 0.500)  0.02
Ga (0.500, 0.000, 0.000)  -0.01
Rb (0.000, 0.000, 0.000)  0.00
Ta (0.500, 0.500, 0.500)  2.03

* crystal system: tetragonal
* space-group type: No. 123
* DFT formation energy: 47.3 kcal/mol of atoms
* total magnetization: 0.629 μB/atom

***

3.
Entry from the Alexandria database: a relaxed structure of RbTl2GaAu2 (GGA-PBE).

abc: 4.806 7.813 9.467
angles: 90.00 90.00 90.00
Positions (direct):
Rb (0.000, 0.014, 0.456)
Rb (0.000, 0.514, 0.544)
Tl (0.500, 0.004, 0.102)
Tl (0.000, 0.342, 0.122)
Tl (0.500, 0.504, 0.898)
Tl (0.000, 0.842, 0.878)
Ga (0.500, 0.142, 0.747)
Ga (0.500, 0.642, 0.253)
Au (0.000, 0.229, 0.826)
Au (0.500, 0.314, 0.301)
Au (0.000, 0.729, 0.174)
Au (0.500, 0.814, 0.699)

* crystal system: orthorhombic
* space-group type: No. 26
* DFT formation energy: -3.1 kcal/mol of atoms
* total magnetization: 0.000 μB/atom

***

4.
Entry from the Alexandria database: a relaxed structure of RbTl2GaAu (GGA-PBE).

abc: 5.759 5.759 5.040
angles: 90.00 90.00 90.00
Positions (direct):
Tl (0.000, 0.500, 0.000)
Tl (0.500, 0.000, 0.000)
Au (0.000, 0.000, 0.500)
Ga (0.000, 0.000, 0.000)
Rb (0.500, 0.500, 0.500)

* crystal system: tetragonal
* space-group type: No. 123
* DFT formation energy: 0.1 kcal/mol of atoms
* total magnetization: 0.000 μB/atom

***

5.
Entry from the Alexandria database: a relaxed structure of Rb2TlGaAu (GGA-PBE).

abc: 6.728 6.728 4.878
angles: 90.00 90.00 90.00
Positions (direct):
Tl (0.500, 0.500, 0.500)
Au (0.000, 0.000, 0.000)
Ga (0.000, 0.000, 0.500)
Rb (0.000, 0.500, 0.000)
Rb (0.500, 0.000, 0.000)

* crystal system: tetragonal
* space-group type: No. 123
* DFT formation energy: -0.2 kcal/mol of atoms
* total magnetization: 0.000 μB/atom

***

6.
Entry from the Alexandria database: a relaxed structure of RbZnGaAu (GGA-PBE).

abc: 4.524 4.524 6.901
angles: 109.06 109.06 60.01
Positions (direct):
Rb (0.481, 0.481, 0.283)
Zn (0.670, 0.670, 0.849)
Ga (0.291, 0.291, 0.711)
Au (0.988, 0.988, 0.805)

* crystal system: monoclinic
* space-group type: No. 8
* DFT formation energy: -5.0 kcal/mol of atoms
* total magnetization: 0.000 μB/atom

***

7.
Entry from the Alexandria database: a relaxed structure of RbZnGaAu2 (GGA-PBE).

abc: 5.108 5.108 5.174
angles: 90.00 90.00 90.00
Positions (direct):
Zn (0.000, 0.000, 0.500)
Au (0.000, 0.500, 0.000)
Au (0.500, 0.000, 0.000)
Ga (0.000, 0.000, 0.000)
Rb (0.500, 0.500, 0.500)

* crystal system: tetragonal
* space-group type: No. 123
* DFT formation energy: -1.9 kcal/mol of atoms
* total magnetization: 0.000 μB/atom

***

8.
Entry from the Alexandria database: a relaxed structure of RbZnGaAu2 (GGA-PBE).

abc: 4.656 4.656 6.503
angles: 110.98 110.98 90.00
Positions (direct):
Rb (0.000, 0.000, 0.000)
Zn (0.750, 0.250, 0.500)
Ga (0.250, 0.750, 0.500)
Au (0.632, 0.632, 0.264)
Au (0.368, 0.368, 0.736)

* crystal system: tetragonal
* space-group type: No. 119
* DFT formation energy: -5.4 kcal/mol of atoms
* total magnetization: 0.000 μB/atom

***

Number 1: N(E_F) 3.307 states/eV per cell. Number 2: N(E_F) 6.711 states/eV per cell. Number 3: N(E_F) 4.647 states/eV per cell. Number 4: N(E_F) 4.072 states/eV per cell. Number 5: N(E_F) 4.345 states/eV per cell. Number 6: N(E_F) 2.188 states/eV per cell. Number 7: N(E_F) 1.256 states/eV per cell. Number 8: N(E_F) 1.507 states/eV per cell.